Entry 1:
DFT (PBE) results for YTiPS2 after structural relaxation.

Properties
Symmetry: P4/mmm, No. 123
E_form (uncorrected): 74 meV/atom
Crystal system: tetragonal
Polymorph energy (0 for the lowest one): 1.057 eV per atom

Cell: 5.1220 5.1220 5.2099 Å, 90.00 90.00 90.00°
Site moments in Bohr magnetons follow the coordinates.
Positions (direct):
Y 0.0000 0.0000 0.0000  0.01
S 0.0000 0.5000 0.0000  0.12
S 0.5000 0.0000 0.0000  0.12
P 0.0000 0.0000 0.5000  0.19
Ti 0.5000 0.5000 0.5000  -1.73

---

Entry 2:
DFT (PBE) results for FeMoRh after structural relaxation.

Properties
Symmetry: P2_1/m, No. 11
Crystal system: monoclinic
Polymorph energy (0 for the lowest one): 0.063 eV per atom

Cell: 4.3519 4.3215 4.9834 Å, 90.00 115.99 90.00°
Site moments in Bohr magnetons follow the coordinates.
Positions (direct):
Fe 0.8593 0.1155 0.1830  2.60
Fe 0.3708 0.6155 0.2027  2.60
Mo 0.2003 0.1155 0.8650  -0.09
Mo 0.0298 0.6155 0.5206  -0.09
Rh 0.7116 0.6155 0.8853  0.38
Rh 0.5185 0.1155 0.5004  0.38

---

Entry 3:
DFT (PBE) results for CaTbIr after structural relaxation.

Properties
Symmetry: F-43m, No. 216
Crystal system: cubic
Polymorph energy (0 for the lowest one): 0.046 eV per atom

Cell: 4.8293 4.8293 4.8293 Å, 60.00 60.00 60.00°
Positions (direct):
Ir 0.2500 0.2500 0.2500
Tb 0.0000 0.0000 0.0000
Ca 0.5000 0.5000 0.5000

---

Entry 4:
DFT (PBE) results for Ce2DySb3Rh4 after structural relaxation.

Properties
Symmetry: P-4m2, No. 115
E_form (uncorrected): -822 meV/atom
Crystal system: tetragonal

Cell: 4.3587 4.3587 11.5612 Å, 90.00 90.00 90.00°
Site moments in Bohr magnetons follow the coordinates.
Positions (direct):
Rh 0.5000 0.5000 0.0000  0.08
Rh 0.0000 0.5000 0.3520  -0.03
Rh 0.0000 0.0000 0.0000  0.08
Rh 0.5000 0.0000 0.6480  -0.03
Ce 0.0000 0.5000 0.7681  0.72
Ce 0.5000 0.0000 0.2319  0.72
Dy 0.5000 0.5000 0.5000  0.06
Sb 0.0000 0.0000 0.5000  -0.01
Sb 0.0000 0.5000 0.1299  0.00
Sb 0.5000 0.0000 0.8701  0.00

---

Entry 5:
DFT (PBE) results for La3Tb8Dy2 after structural relaxation.

Properties
Symmetry: P-1, No. 2
Crystal system: triclinic
Polymorph energy (0 for the lowest one): 0.000 eV per atom

Cell: 6.2459 8.0490 9.5348 Å, 64.96 83.68 82.51°
Positions (direct):
Tb 0.3107 0.3893 0.7654
Tb 0.6893 0.6107 0.2346
Tb 0.7715 0.4632 0.9214
Tb 0.9209 0.1557 0.3112
Tb 0.0791 0.8443 0.6888
Tb 0.1526 0.6888 0.3876
Tb 0.8474 0.3112 0.6124
Tb 0.2285 0.5368 0.0786
La 0.5402 0.9221 0.8447
La 0.0000 0.0000 0.0000
La 0.4598 0.0779 0.1553
Dy 0.3828 0.2321 0.4613
Dy 0.6172 0.7679 0.5387

---

Entry 6:
DFT (PBE) results for ZrV2C after structural relaxation.

Properties
Symmetry: I-42d, No. 122
Total energy: -8.45 eV per atom
Crystal system: tetragonal

Cell: 5.8606 5.8606 5.7448 Å, 59.33 59.33 90.00°
Site moments in Bohr magnetons follow the coordinates.
Positions (direct):
V 0.2833 0.6250 0.2500  0.45
V 0.4667 0.1250 0.2500  0.45
V 0.3750 0.5333 0.7500  0.45
V 0.8750 0.7167 0.7500  0.45
C 0.5000 0.5000 0.0000  -0.03
C 0.2500 0.7500 0.5000  -0.03
Zr 0.7500 0.2500 0.5000  0.09
Zr 0.0000 0.0000 0.0000  0.09

---

Entry 7:
DFT (PBE) results for Li3PuPa2N6 after structural relaxation.

Properties
Symmetry: C2/m, No. 12
E_form (uncorrected): -1120 meV/atom
Crystal system: monoclinic

Cell: 6.1134 6.1134 5.4455 Å, 100.97 100.97 119.93°
Site moments in Bohr magnetons follow the coordinates.
Positions (direct):
Li 0.1423 0.8577 0.5000  0.00
Li 0.8577 0.1423 0.5000  0.00
Li 0.5000 0.5000 0.5000  0.00
N 0.3919 0.0685 0.2017  -0.08
N 0.9315 0.6081 0.7983  -0.08
N 0.2618 0.2618 0.7875  -0.06
N 0.0685 0.3919 0.2017  -0.08
N 0.6081 0.9315 0.7983  -0.08
N 0.7382 0.7382 0.2125  -0.06
Pu 0.0000 0.0000 0.0000  3.48
Pa 0.3332 0.6668 0.0000  0.01
Pa 0.6668 0.3332 0.0000  0.01

---

Entry 8:
DFT (PBE) results for Pr4HgOs after structural relaxation.

Properties
Symmetry: C2/c, No. 15
Crystal system: monoclinic
Polymorph energy (0 for the lowest one): 0.009 eV per atom

Cell: 6.4211 9.3671 8.0152 Å, 114.68 99.05 114.60°
Positions (direct):
Pr 0.2328 0.6361 0.8418
Pr 0.8910 0.7944 0.1582
Pr 0.3949 0.9387 0.6597
Pr 0.7648 0.7210 0.6597
Pr 0.1090 0.2056 0.8418
Pr 0.7672 0.3639 0.1582
Pr 0.2352 0.2790 0.3403
Pr 0.6051 0.0613 0.3403
Hg 0.3736 0.6236 0.2472
Hg 0.6264 0.3764 0.7528
Os 0.2501 0.0001 0.0001
Os 0.7499 0.9999 0.9999

---

Entry 9:
DFT (PBE) results for ZrSbRu after structural relaxation.

Properties
Symmetry: P3m1, No. 156
E_form (uncorrected): -51 meV/atom
Crystal system: trigonal

Cell: 3.3174 3.3174 6.5179 Å, 90.00 90.00 120.00°
Positions (direct):
Ru 0.0000 0.0000 0.9830
Zr 0.3333 0.6667 0.7033
Sb 0.6667 0.3333 0.3137

---

Entry 10:
DFT (PBE) results for PmYThN3 after structural relaxation.

Properties
Symmetry: P2_1/m, No. 11
E_form (uncorrected): -1424 meV/atom
Crystal system: monoclinic

Cell: 3.5734 6.1442 9.2187 Å, 101.40 90.00 90.00°
Positions (direct):
N 0.7500 0.0400 0.1544
N 0.7500 0.5449 0.1645
N 0.2500 0.7554 0.5005
N 0.2500 0.4551 0.8355
N 0.7500 0.2446 0.4995
N 0.2500 0.9600 0.8456
Y 0.7500 0.8507 0.3667
Y 0.2500 0.1493 0.6333
Pm 0.2500 0.3427 0.3073
Pm 0.7500 0.6573 0.6927
Th 0.7500 0.2347 0.9515
Th 0.2500 0.7653 0.0485

---

Entry 11:
DFT (PBE) results for MgCo2Ru after structural relaxation.

Properties
Symmetry: Immm, No. 71
Total energy: -6.07 eV per atom
Crystal system: orthorhombic

Cell: 4.9351 4.9351 4.9351 Å, 144.59 129.40 63.27°
Site moments in Bohr magnetons follow the coordinates.
Positions (direct):
Co 0.4904 0.4904 0.0000  1.71
Co 0.0096 0.0096 0.0000  1.71
Mg 0.7500 0.2500 0.5000  -0.02
Ru 0.2500 0.7500 0.5000  0.75

---

Entry 12:
DFT (PBE) results for Ni4SnSb after structural relaxation.

Properties
Symmetry: C2/c, No. 15
E_form (uncorrected): -71 meV/atom
Crystal system: monoclinic

Cell: 4.2587 6.5674 7.0364 Å, 97.59 90.00 108.92°
Positions (direct):
Ni 0.6555 0.8170 0.3703
Ni 0.0511 0.6028 0.1738
Ni 0.3445 0.1830 0.6297
Ni 0.8386 0.1830 0.1297
Ni 0.5516 0.6028 0.6738
Ni 0.4484 0.3972 0.3262
Ni 0.1614 0.8170 0.8703
Ni 0.9489 0.3972 0.8262
Sn 0.0000 0.5000 0.5000
Sn 0.5000 0.5000 0.0000
Sb 0.2470 0.0000 0.2500
Sb 0.7530 0.0000 0.7500